The following is a DFT calculation (GGA-PBE) of a relaxed structure of La2CeNi2.

Lattice parameters (Å, degrees): 3.7942 6.3534 10.0966 90.00 90.00 90.00
Space group Immm (No. 71)
Asymmetric unit:
La: 0.0000 0.0000 0.1938 [4 per cell]
Ce: 0.0000 0.5000 0.0000 [2 per cell]
Ni: 0.0000 0.2938 0.5000 [4 per cell]

magnetization = 0.0 Bohr magnetons per cell
E = -5.740 eV/atom
energy of formation from the pure elements = -130 kJ/mol of formula units
ρ = 7.3 g/cm³